# 1
This record from Alexandria describes Pm2ErZn5 after structural relaxation. The functional is GGA-PBE.

Calculated values
total magnetization	0.00	μB/atom
theoretical density	7.69	g cm⁻³
calculated total energy	-45.496	eV for the cell shown
volume	169.3	Å³/f.u.

a b c (Å): 4.8437 4.8437 14.4318
angles (deg): 90.00 90.00 90.00
Space group I4/mmm (No. 139)
One atom of each set of equivalent atoms:
Pm 0.0000 0.0000 0.2325 [4 per cell]
Er 0.0000 0.0000 0.5000 [2 per cell]
Zn 0.0000 0.0000 0.0000 [2 per cell]
Zn 0.0000 0.5000 0.1093 [8 per cell]

---

# 2
This record from Alexandria describes Pm2Er3Zn2 after structural relaxation. The functional is GGA-PBE.

Calculated values
distance to the lowest polymorph of the same formula	0.000	eV per atom
total magnetization	0.09	μB/atom
theoretical density	7.96	g cm⁻³
volume	192.6	Å³/f.u.

a b c (Å): 3.6085 30.2814 3.5246
angles (deg): 90.00 90.00 90.00
Space group Cmmm (No. 65)
One atom of each set of equivalent atoms:
Pm 0.0000 0.1987 0.0000 [4 per cell]
Er 0.0000 0.0815 0.0000 [4 per cell]
Er 0.0000 0.5000 0.5000 [2 per cell]
Zn 0.0000 0.3633 0.5000 [4 per cell]

---

# 3
This record from Alexandria describes PmEr3Zn2 after structural relaxation. The functional is GGA-PBE.

Calculated values
total magnetization	0.00	μB/atom
theoretical density	8.42	g cm⁻³
calculated total energy	-22.380	eV for the cell shown
volume	153.4	Å³/f.u.

a b c (Å): 3.5435 3.5435 12.2159
angles (deg): 90.00 90.00 90.00
Space group P4/mmm (No. 123)
One atom of each set of equivalent atoms:
Pm 0.0000 0.0000 0.0000 [1 per cell]
Er 0.5000 0.5000 0.2128 [2 per cell]
Er 0.5000 0.5000 0.5000 [1 per cell]
Zn 0.0000 0.0000 0.3571 [2 per cell]

---

# 4
This record from Alexandria describes Pm4ErZn5 after structural relaxation. The functional is GGA-PBE.

Calculated values
total magnetization	0.00	μB/atom
theoretical density	7.43	g cm⁻³
calculated total energy	-33.120	eV for the cell shown
volume	240.1	Å³/f.u.

a b c (Å): 3.6287 3.6287 18.2312
angles (deg): 90.00 90.00 90.00
Space group P4/mmm (No. 123)
One atom of each set of equivalent atoms:
Pm 0.0000 0.0000 0.1017 [2 per cell]
Pm 0.0000 0.0000 0.3043 [2 per cell]
Er 0.0000 0.0000 0.5000 [1 per cell]
Zn 0.5000 0.5000 0.0000 [1 per cell]
Zn 0.5000 0.5000 0.2019 [2 per cell]
Zn 0.5000 0.5000 0.4084 [2 per cell]

---

# 5
This record from Alexandria describes PmEr2Zn after structural relaxation. The functional is GGA-PBE.

Calculated values
distance to the lowest polymorph of the same formula	0.091	eV per atom
total magnetization	0.00	μB/atom
theoretical density	8.01	g cm⁻³
volume	113.0	Å³/f.u.

a b c (Å): 3.5605 3.5605 30.8837
angles (deg): 90.00 90.00 120.00
Space group R-3m (No. 166, hexagonal axes)
One atom of each set of equivalent atoms:
Pm 0.0000 0.0000 0.0000 [3 per cell]
Er 0.0000 0.0000 0.2382 [6 per cell]
Zn 0.0000 0.0000 0.5000 [3 per cell]

---

# 6
This record from Alexandria describes PmEr6Zn2 after structural relaxation. The functional is GGA-PBE.

Calculated values
total magnetization	0.00	μB/atom
theoretical density	8.63	g cm⁻³
calculated total energy	-71.881	eV for the cell shown
volume	246.3	Å³/f.u.

a b c (Å): 12.3726 3.6004 11.6716
angles (deg): 90.00 108.68 90.00
Space group C2/m (No. 12)
One atom of each set of equivalent atoms:
Pm 0.0000 0.0000 0.0000 [2 per cell]
Er 0.0218 0.0000 0.3335 [4 per cell]
Er 0.1869 0.5000 0.5873 [4 per cell]
Er 0.1904 0.5000 0.8740 [4 per cell]
Zn 0.1519 0.5000 0.2129 [4 per cell]

---

# 7
This record from Alexandria describes PmEr2Zn6 after structural relaxation. The functional is GGA-PBE.

Calculated values
total magnetization	0.00	μB/atom
theoretical density	7.89	g cm⁻³
calculated total energy	-24.839	eV for the cell shown
volume	183.5	Å³/f.u.

a b c (Å): 7.7754 7.7754 3.5038
angles (deg): 90.00 90.00 120.00
Space group P6/mmm (No. 191)
One atom of each set of equivalent atoms:
Pm 0.0000 0.0000 0.0000 [1 per cell]
Er 0.3333 0.6667 0.0000 [2 per cell]
Zn 0.0000 0.3364 0.5000 [6 per cell]

---

# 8
This record from Alexandria describes PmErZn after structural relaxation. The functional is GGA-PBE.

Calculated values
distance to the lowest polymorph of the same formula	0.157	eV per atom
total magnetization	0.00	μB/atom
theoretical density	7.75	g cm⁻³
volume	80.9	Å³/f.u.

a b c (Å): 4.9907 4.9907 3.7502
angles (deg): 90.00 90.00 120.00
Space group P3m1 (No. 156)
One atom of each set of equivalent atoms:
Pm 0.0000 0.0000 0.0000 [1 per cell]
Er 0.3333 0.6667 0.5350 [1 per cell]
Zn 0.6667 0.3333 0.3588 [1 per cell]